# Li13Ir2 | the Alexandria database | PBE-GGA | optimized geometry
data_Li13Ir2
_chemical_formula_sum 'Li39 Ir6'
_cell_length_a 6.9047
_cell_length_b 6.9047
_cell_length_c 18.9332
_cell_angle_alpha 90.00
_cell_angle_beta 90.00
_cell_angle_gamma 120.00
_symmetry_space_group_name_H-M 'R -3 m'
_symmetry_Int_Tables_number 166
_symmetry_space_group_name_Hall '-R 3 2"'
loop_
_atom_site_label
_atom_site_type_symbol
_atom_site_fract_x
_atom_site_fract_y
_atom_site_fract_z
Li1 Li 0.0000 0.0000 0.0000
Li2 Li 0.0802 0.5401 0.0524
Li3 Li 0.0820 0.5410 0.8107
Ir1 Ir 0.0000 0.0000 0.2560
# DFT formation energy, eV/f.u.: 2.99
# Calculated volume, Å³ per cell: 781.7
# Calculated density, g/cm3: 3.025
# Magnetic moment, Bohr magnetons per cell: 0.00

# NbRh2Cl | the Alexandria database | PBE-GGA | optimized geometry
data_NbRh2Cl
_chemical_formula_sum 'Nb4 Rh8 Cl4'
_cell_length_a 6.378
_cell_length_b 6.378
_cell_length_c 6.378
_cell_angle_alpha 90.00
_cell_angle_beta 90.00
_cell_angle_gamma 90.00
_symmetry_space_group_name_H-M 'F m -3 m'
_symmetry_Int_Tables_number 225
_symmetry_space_group_name_Hall '-F 4 2 3'
loop_
_atom_site_label
_atom_site_type_symbol
_atom_site_fract_x
_atom_site_fract_y
_atom_site_fract_z
Nb1 Nb 0.000 0.000 0.000
Rh1 Rh 0.250 0.250 0.250
Cl1 Cl 0.000 0.000 0.500
# Calculated volume, Å³ per cell: 259.5
# Calculated density, g/cm3: 8.554
# Magnetic moment, Bohr magnetons per cell: 0.00
# Formation energy from raw total energies, eV per formula unit: 1.4
# Energy above the most stable polymorph in this dataset, meV per atom: 0

# CrHgAs2 | the Alexandria database | PBE-GGA | optimized geometry
data_CrHgAs2
_chemical_formula_sum 'Cr2 Hg2 As4'
_cell_length_a 13.543
_cell_length_b 2.971
_cell_length_c 4.315
_cell_angle_alpha 90.00
_cell_angle_beta 101.05
_cell_angle_gamma 90.00
_symmetry_space_group_name_H-M 'C 1 m 1'
_symmetry_Int_Tables_number 8
loop_
_symmetry_equiv_pos_as_xyz
'x,y,z'
'x,-y,z'
'x+1/2,y+1/2,z'
'x+1/2,-y+1/2,z'
loop_
_atom_site_label
_atom_site_type_symbol
_atom_site_fract_x
_atom_site_fract_y
_atom_site_fract_z
Cr1 Cr 0.000 0.000 0.000
Hg1 Hg 0.303 0.000 0.854
As1 As 0.153 0.500 0.271
As2 As 0.497 0.000 0.505
# DFT formation energy, eV/f.u.: 0.73
# Calculated volume, Å³ per cell: 170.4
# Calculated density, g/cm3: 7.843
# Magnetic moment, Bohr magnetons per cell: 6.06

# Nb12SiB6 | the Alexandria database | PBE-GGA | optimized geometry
data_Nb12SiB6
_chemical_formula_sum 'Nb24 Si2 B12'
_cell_length_a 8.097
_cell_length_b 8.097
_cell_length_c 8.097
_cell_angle_alpha 90.00
_cell_angle_beta 90.00
_cell_angle_gamma 90.00
_symmetry_space_group_name_H-M 'I m -3'
_symmetry_Int_Tables_number 204
_symmetry_space_group_name_Hall '-I 2 2 3'
loop_
_atom_site_label
_atom_site_type_symbol
_atom_site_fract_x
_atom_site_fract_y
_atom_site_fract_z
Nb1 Nb 0.000 0.195 0.291
Si1 Si 0.000 0.000 0.000
B1 B 0.000 0.395 0.500
# Calculated volume, Å³ per cell: 530.9
# Calculated density, g/cm3: 7.555
# Magnetic moment, Bohr magnetons per cell: 0.00
# Formation energy from raw total energies, eV per formula unit: -7.5

# SrIrCl6 | the Alexandria database | PBE-GGA | optimized geometry
data_SrIrCl6
_chemical_formula_sum 'Sr3 Ir3 Cl18'
_cell_length_a 6.4904
_cell_length_b 6.4904
_cell_length_c 17.7654
_cell_angle_alpha 90.00
_cell_angle_beta 90.00
_cell_angle_gamma 120.00
_symmetry_space_group_name_H-M 'R -3'
_symmetry_Int_Tables_number 148
_symmetry_space_group_name_Hall '-R 3'
loop_
_atom_site_label
_atom_site_type_symbol
_atom_site_fract_x
_atom_site_fract_y
_atom_site_fract_z
Sr1 Sr 0.0000 0.0000 0.0000
Ir1 Ir 0.0000 0.0000 0.5000
Cl1 Cl 0.0188 0.3934 0.0913
# Calculated volume, Å³ per cell: 648.2
# Calculated density, g/cm3: 3.785
# Magnetic moment, Bohr magnetons per cell: 3.01
# Formation energy from raw total energies, eV per formula unit: -9.1
# Energy above the most stable polymorph in this dataset, meV per atom: 13

# AgSb2TeOs | the Alexandria database | PBE-GGA | optimized geometry
data_AgSb2TeOs
_chemical_formula_sum 'Ag1 Sb2 Te1 Os1'
_cell_length_a 5.002
_cell_length_b 5.002
_cell_length_c 5.815
_cell_angle_alpha 90.00
_cell_angle_beta 90.00
_cell_angle_gamma 90.00
_symmetry_space_group_name_H-M 'P 4/m m m'
_symmetry_Int_Tables_number 123
_symmetry_space_group_name_Hall '-P 4 2'
loop_
_atom_site_label
_atom_site_type_symbol
_atom_site_fract_x
_atom_site_fract_y
_atom_site_fract_z
Ag1 Ag 0.000 0.000 0.000
Sb1 Sb 0.000 0.500 0.500
Te1 Te 0.500 0.500 0.000
Os1 Os 0.500 0.500 0.500
# Calculated volume, Å³ per cell: 145.5
# Calculated density, g/cm3: 7.639
# Magnetic moment, Bohr magnetons per cell: 0.00
# Formation energy from raw total energies, eV per formula unit: 3.6
# Energy above the most stable polymorph in this dataset, meV per atom: 0

# Ac3GeSb2 | the Alexandria database | PBE-GGA | optimized geometry
data_Ac3GeSb2
_chemical_formula_sum 'Ac6 Ge2 Sb4'
_cell_length_a 4.689
_cell_length_b 6.705
_cell_length_c 14.325
_cell_angle_alpha 90.00
_cell_angle_beta 90.00
_cell_angle_gamma 90.00
_symmetry_space_group_name_H-M 'I m m m'
_symmetry_Int_Tables_number 71
_symmetry_space_group_name_Hall '-I 2 2'
loop_
_atom_site_label
_atom_site_type_symbol
_atom_site_fract_x
_atom_site_fract_y
_atom_site_fract_z
Ac1 Ac 0.000 0.000 0.000
Ac2 Ac 0.000 0.000 0.339
Ge1 Ge 0.000 0.500 0.000
Sb1 Sb 0.000 0.500 0.330
# Calculated volume, Å³ per cell: 450.3
# Calculated density, g/cm3: 7.354
# Magnetic moment, Bohr magnetons per cell: 0.00
# Formation energy from raw total energies, eV per formula unit: -5.8

# HgSb12Pd4 | the Alexandria database | PBE-GGA | optimized geometry
data_HgSb12Pd4
_chemical_formula_sum 'Hg2 Sb24 Pd8'
_cell_length_a 9.589
_cell_length_b 9.589
_cell_length_c 9.589
_cell_angle_alpha 90.00
_cell_angle_beta 90.00
_cell_angle_gamma 90.00
_symmetry_space_group_name_H-M 'I m -3'
_symmetry_Int_Tables_number 204
_symmetry_space_group_name_Hall '-I 2 2 3'
loop_
_atom_site_label
_atom_site_type_symbol
_atom_site_fract_x
_atom_site_fract_y
_atom_site_fract_z
Hg1 Hg 0.000 0.000 0.000
Sb1 Sb 0.000 0.346 0.155
Pd1 Pd 0.250 0.250 0.250
# Calculated volume, Å³ per cell: 881.7
# Calculated density, g/cm3: 7.863
# Magnetic moment, Bohr magnetons per cell: 0.00
# Formation energy from raw total energies, eV per formula unit: -4.1

# LiCu | the Alexandria database | PBE-GGA | optimized geometry
data_LiCu
_chemical_formula_sum 'Li2 Cu2'
_cell_length_a 2.572
_cell_length_b 3.786
_cell_length_c 5.408
_cell_angle_alpha 90.00
_cell_angle_beta 90.00
_cell_angle_gamma 90.00
_symmetry_space_group_name_H-M 'P m m n'
_symmetry_Int_Tables_number 59
loop_
_symmetry_equiv_pos_as_xyz
'x,y,z'
'-x,-y,-z'
'-x+1/2,-y+1/2,z'
'x+1/2,y+1/2,-z'
'x+1/2,-y,-z'
'-x+1/2,y,z'
'-x,y+1/2,-z'
'x,-y+1/2,z'
loop_
_atom_site_label
_atom_site_type_symbol
_atom_site_fract_x
_atom_site_fract_y
_atom_site_fract_z
Li1 Li 0.250 0.250 0.144
Cu1 Cu 0.250 0.250 0.612
# DFT formation energy, eV/f.u.: -0.07
# Calculated volume, Å³ per cell: 52.7
# Calculated density, g/cm3: 4.445
# Magnetic moment, Bohr magnetons per cell: 0.00

# Na5W2N5 | the Alexandria database | PBE-GGA | optimized geometry
data_Na5W2N5
_chemical_formula_sum 'Na10 W4 N10'
_cell_length_a 11.298
_cell_length_b 3.331
_cell_length_c 9.330
_cell_angle_alpha 90.00
_cell_angle_beta 106.14
_cell_angle_gamma 90.00
_symmetry_space_group_name_H-M 'C 1 2/m 1'
_symmetry_Int_Tables_number 12
loop_
_symmetry_equiv_pos_as_xyz
'x,y,z'
'-x,-y,-z'
'-x,y,-z'
'x,-y,z'
'x+1/2,y+1/2,z'
'-x+1/2,-y+1/2,-z'
'-x+1/2,y+1/2,-z'
'x+1/2,-y+1/2,z'
loop_
_atom_site_label
_atom_site_type_symbol
_atom_site_fract_x
_atom_site_fract_y
_atom_site_fract_z
Na1 Na 0.000 0.000 0.000
Na2 Na 0.167 0.000 0.580
Na3 Na 0.240 0.500 0.125
W1 W 0.031 0.500 0.302
N1 N 0.000 0.500 0.500
N2 N 0.102 0.500 0.863
N3 N 0.128 0.000 0.292
# Calculated volume, Å³ per cell: 337.3
# Calculated density, g/cm3: 5.442
# Magnetic moment, Bohr magnetons per cell: 0.00
# Formation energy from raw total energies, eV per formula unit: -3.5

# UOsRu | the Alexandria database | PBE-GGA | optimized geometry
data_UOsRu
_chemical_formula_sum 'U2 Os2 Ru2'
_cell_length_a 2.942
_cell_length_b 2.942
_cell_length_c 11.718
_cell_angle_alpha 90.00
_cell_angle_beta 90.00
_cell_angle_gamma 90.00
_symmetry_space_group_name_H-M 'I 4 m m'
_symmetry_Int_Tables_number 107
_symmetry_space_group_name_Hall 'I 4 -2'
loop_
_atom_site_label
_atom_site_type_symbol
_atom_site_fract_x
_atom_site_fract_y
_atom_site_fract_z
U1 U 0.000 0.000 0.000
Os1 Os 0.000 0.000 0.325
Ru1 Ru 0.000 0.000 0.678
# DFT formation energy, eV/f.u.: 0.50
# Calculated volume, Å³ per cell: 101.4
# Calculated density, g/cm3: 17.338
# Magnetic moment, Bohr magnetons per cell: 0.00
# Energy above the most stable polymorph in this dataset, meV per atom: 315

# CsRb2SBr6 | the Alexandria database | PBE-GGA | optimized geometry
data_CsRb2SBr6
_chemical_formula_sum 'Cs2 Rb4 S2 Br12'
_cell_length_a 8.596
_cell_length_b 8.596
_cell_length_c 11.628
_cell_angle_alpha 90.00
_cell_angle_beta 90.00
_cell_angle_gamma 90.00
_symmetry_space_group_name_H-M 'I 4/m m m'
_symmetry_Int_Tables_number 139
_symmetry_space_group_name_Hall '-I 4 2'
loop_
_atom_site_label
_atom_site_type_symbol
_atom_site_fract_x
_atom_site_fract_y
_atom_site_fract_z
Cs1 Cs 0.000 0.000 0.000
Rb1 Rb 0.000 0.500 0.250
S1 S 0.000 0.000 0.500
Br1 Br 0.000 0.000 0.288
Br2 Br 0.225 0.225 0.500
# Calculated volume, Å³ per cell: 859.2
# Calculated density, g/cm3: 3.152
# Magnetic moment, Bohr magnetons per cell: 2.00
# Formation energy from raw total energies, eV per formula unit: -8.5

Which formula does entry 11 have? UOsRu